Density functional theory data (PBE+U) for NiSe2NF after structural relaxation.

Output
Fermi-level density of states = 5.2 states/eV/cell
excess energy over the best structure of this formula in the dataset = 0.0000 eV/atom

Cell: 4.8824 4.8824 3.3331 Å, 90.00 90.00 90.00°
Positions (direct):
Ni 0.0000 0.0000 0.0000
N 0.0000 0.0000 0.5000
Se 0.0000 0.5000 0.0000
Se 0.5000 0.0000 0.0000
F 0.5000 0.5000 0.5000